Record 1
The following is a DFT calculation (PBE-GGA) of a geometry-optimized Pu2ThTe2S2 structure.

a = 5.312 Å, b = 5.312 Å, c = 8.744 Å
α = 107.68°, β = 107.68°, γ = 90.00°
Sites, in units of the cell vectors:
S1 0.000 0.500 0.000
Pu1 0.611 0.611 0.222
S2 0.500 0.000 0.000
Te1 0.808 0.808 0.617
Th1 0.000 0.000 0.000
Te2 0.192 0.192 0.383
Pu2 0.389 0.389 0.778

## Properties
Space-group type: I4/mmm, No. 139
Formation energy from raw total energies: -1.153 eV/atom
Crystal system: tetragonal
Magnetic moment: 11.7 μB per formula unit

Record 2
The following is a DFT calculation (PBE-GGA) of a geometry-optimized PuThTe2S structure.

a = 4.407 Å, b = 4.407 Å, c = 15.186 Å
α = 90.00°, β = 90.00°, γ = 90.00°
Sites, in units of the cell vectors:
Th1 0.000 0.500 0.907
Te1 0.000 0.500 0.700
Te2 0.500 0.000 0.876
Pu1 0.000 0.500 0.396
S1 0.000 0.000 0.500
S2 0.500 0.500 0.500
Te3 0.000 0.500 0.124
Te4 0.500 0.000 0.300
Pu2 0.500 0.000 0.604
Th2 0.500 0.000 0.093

## Properties
Space-group type: P4/nmm, No. 129
Formation energy from raw total energies: -1.209 eV/atom
Crystal system: tetragonal
Magnetic moment: 4.7 μB per formula unit

Record 3
The following is a DFT calculation (PBE-GGA) of a geometry-optimized PuTlTeS structure.

a = 4.274 Å, b = 4.274 Å, c = 8.271 Å
α = 90.01°, β = 104.97°, γ = 120.00°
Sites, in units of the cell vectors:
S1 0.515 0.155 0.685
Tl1 0.966 0.381 0.362
Pu1 0.282 0.539 0.837
Te1 0.115 0.955 0.085

## Properties
Space-group type: R3m, No. 160
Formation energy from raw total energies: -0.987 eV/atom
Crystal system: trigonal
Magnetic moment: 5.0 μB per formula unit

Record 4
The following is a DFT calculation (PBE-GGA) of a geometry-optimized TmPuTeS structure.

a = 4.051 Å, b = 4.051 Å, c = 7.390 Å
α = 74.09°, β = 74.09°, γ = 60.00°
Sites, in units of the cell vectors:
S1 0.253 0.253 0.240
Te1 0.747 0.747 0.760
Pu1 0.513 0.513 0.460
Tm1 0.987 0.987 0.040

## Properties
Space-group type: R3m, No. 160
Formation energy from raw total energies: -1.505 eV/atom
Crystal system: trigonal
Magnetic moment: 5.9 μB per formula unit

Record 5
The following is a DFT calculation (PBE-GGA) of a geometry-optimized PuUTe2S structure.

a = 4.251 Å, b = 4.251 Å, c = 14.698 Å
α = 90.00°, β = 90.00°, γ = 90.00°
Sites, in units of the cell vectors:
S1 0.500 0.500 0.500
Te1 0.000 0.500 0.703
U1 0.000 0.500 0.914
Te2 0.500 0.000 0.875
Pu1 0.000 0.500 0.390
S2 0.000 0.000 0.500
U2 0.500 0.000 0.086
Pu2 0.500 0.000 0.610
Te3 0.500 0.000 0.297
Te4 0.000 0.500 0.125

## Properties
Space-group type: P4/nmm, No. 129
Formation energy from raw total energies: -0.402 eV/atom
Crystal system: tetragonal
Magnetic moment: 0.2 μB per formula unit

Record 6
The following is a DFT calculation (PBE-GGA) of a geometry-optimized YPuTeS structure.

a = 4.094 Å, b = 4.094 Å, c = 7.427 Å
α = 74.00°, β = 74.00°, γ = 60.00°
Sites, in units of the cell vectors:
S1 0.251 0.251 0.246
Y1 0.987 0.987 0.038
Pu1 0.513 0.513 0.461
Te1 0.749 0.749 0.754

## Properties
Space-group type: R3m, No. 160
Formation energy from raw total energies: -1.550 eV/atom
Crystal system: trigonal
Magnetic moment: 5.8 μB per formula unit

Record 7
The following is a DFT calculation (PBE-GGA) of a geometry-optimized Pu2ThS3 structure.

a = 3.978 Å, b = 5.634 Å, c = 6.917 Å
α = 114.03°, β = 106.71°, γ = 90.00°
Sites, in units of the cell vectors:
Th1 0.000 0.500 0.000
Pu1 0.666 0.166 0.331
Pu2 0.334 0.834 0.669
S1 0.327 0.327 0.655
S2 0.000 0.000 0.000
S3 0.673 0.673 0.345

## Properties
Space-group type: Immm, No. 71
Formation energy from raw total energies: -1.789 eV/atom
Crystal system: orthorhombic
Magnetic moment: 11.3 μB per formula unit

Record 8
The following is a DFT calculation (PBE-GGA) of a geometry-optimized Pu2Th2S7 structure.

a = 4.047 Å, b = 8.564 Å, c = 8.564 Å
α = 61.11°, β = 76.33°, γ = 76.33°
Sites, in units of the cell vectors:
S1 0.500 0.012 0.988
Th1 0.000 0.789 0.211
Pu1 0.741 0.839 0.679
S2 0.610 0.503 0.276
S3 0.135 0.144 0.586
S4 0.390 0.724 0.497
Pu2 0.259 0.321 0.161
S5 0.188 0.699 0.926
S6 0.812 0.074 0.301
Th2 0.500 0.335 0.665
S7 0.865 0.414 0.856

## Properties
Space-group type: Imm2, No. 44
Formation energy from raw total energies: -1.780 eV/atom
Crystal system: orthorhombic
Magnetic moment: 10.0 μB per formula unit